1.
16
Lattice="8.347 0.000 0.000 0.000 8.373 0.012 -4.173 -4.169 5.905" Properties=species:S:1:pos:R:3 comment="La4Th3PaP8 PBE-GGA relaxed" space_group="R-3m (166)" pbc="T T T"
La 4.173 0.000 0.000
La 2.087 -2.085 2.953
La 0.000 0.000 0.000
La -2.087 -2.085 2.953
Th 4.173 4.186 0.006
Th 2.087 2.102 2.959
Th -2.087 2.102 2.959
Pa 0.000 4.186 0.006
P -2.138 2.009 5.879
P 0.000 4.145 2.854
P 0.000 0.066 2.996
P 2.138 2.009 5.879
P 2.036 2.194 0.038
P 4.173 4.138 2.922
P 4.173 0.059 3.064
P 6.311 2.194 0.038


2.
8
Lattice="4.073 0.000 0.000 0.000 7.073 -0.145 0.000 2.484 6.607" Properties=species:S:1:pos:R:3 comment="LaThPa2P4 PBE-GGA relaxed" space_group="P2/m (10)" pbc="T T T"
La 2.037 6.021 6.534
Th 0.000 4.779 3.231
Pa 0.000 2.484 6.607
Pa 2.037 1.242 3.303
P 0.000 7.283 4.782
P 4.073 2.274 1.679
P 2.037 6.033 1.521
P 2.037 3.524 4.940


3.
8
Lattice="-2.233 1.998 2.698 -5.526 -0.610 -4.121 -3.430 -5.917 1.545" Properties=species:S:1:pos:R:3 comment="LaTm2PaP4 PBE-GGA relaxed" space_group="P2/m (10)" pbc="T T T"
La -7.309 -5.223 0.833
Tm -3.430 -5.917 1.545
Tm -2.831 -1.959 2.121
Pa -4.478 -3.264 -1.288
P -6.717 -4.811 -1.995
P -4.471 0.282 2.116
P -6.171 -0.987 -1.363
P -5.016 -3.542 1.485


4.
16
Lattice="8.173 0.000 0.000 0.000 8.250 0.048 -4.087 -4.082 5.782" Properties=species:S:1:pos:R:3 comment="La4TmPa3P8 PBE-GGA relaxed" space_group="R-3m (166)" pbc="T T T"
La 4.087 0.000 0.000
La 2.043 -2.041 2.891
La 0.000 0.000 0.000
La -2.043 -2.041 2.891
Tm 0.000 4.125 0.024
Pa 4.087 4.125 0.024
Pa 2.043 2.084 2.915
Pa -2.043 2.084 2.915
P -2.029 1.981 5.720
P 0.000 4.008 2.849
P 0.000 0.147 2.991
P 2.029 1.981 5.720
P 2.057 2.186 0.110
P 4.087 4.021 2.838
P 4.087 0.159 2.980
P 6.116 2.186 0.110


5.
16
Lattice="8.187 0.000 0.000 0.000 8.235 0.028 -4.094 -4.090 5.792" Properties=species:S:1:pos:R:3 comment="La4Tm3PaP8 PBE-GGA relaxed" space_group="R-3m (166)" pbc="T T T"
La 4.094 0.000 0.000
La 2.047 -2.045 2.896
La 0.000 0.000 0.000
La -2.047 -2.045 2.896
Tm 4.094 4.117 0.014
Tm 2.047 2.073 2.910
Tm -2.047 2.073 2.910
Pa 0.000 4.117 0.014
P -2.068 1.962 5.740
P 0.000 4.028 2.814
P 0.000 0.111 2.972
P 2.068 1.962 5.740
P 2.025 2.183 0.080
P 4.094 4.035 2.849
P 4.094 0.117 3.007
P 6.162 2.183 0.080


6.
8
Lattice="4.076 0.000 0.000 0.000 7.063 0.122 0.000 -2.470 6.748" Properties=species:S:1:pos:R:3 comment="La2UPaP4 PBE-GGA relaxed" space_group="P2/m (10)" pbc="T T T"
La 2.038 -1.235 3.374
La 0.000 2.297 3.435
U 0.000 0.000 0.000
Pa 2.038 3.532 0.061
P 2.038 1.149 1.557
P 2.038 3.444 5.314
P 0.000 -0.091 5.249
P 0.000 4.684 1.621


7.
8
Lattice="4.117 0.000 0.000 0.000 7.085 0.112 0.000 -2.487 6.742" Properties=species:S:1:pos:R:3 comment="La2YPaP4 PBE-GGA relaxed" space_group="P2/m (10)" pbc="T T T"
La 2.059 -1.244 3.371
La 0.000 2.299 3.427
Y 0.000 0.000 0.000
Pa 2.059 3.543 0.056
P 2.059 1.197 1.587
P 2.059 3.401 5.268
P 0.000 -0.068 5.229
P 0.000 4.666 1.626


8.
8
Lattice="5.739 0.003 0.000 -0.003 5.739 0.000 -2.868 -2.871 5.740" Properties=species:S:1:pos:R:3 comment="LaY2PaP4 PBE-GGA relaxed" space_group="I-4m2 (119)" pbc="T T T"
La 2.868 2.871 0.000
Y -0.001 2.869 2.870
Y 0.000 0.000 0.000
Pa 2.869 0.001 2.870
P 2.869 0.001 5.650
P 2.869 0.001 0.090
P 2.868 2.871 2.931
P 0.000 0.000 2.808


Number 1: calculated formation energy -1.54 eV/atom, M_tot 0.00 μB/f.u.. Number 2: calculated formation energy -1.43 eV/atom, M_tot 0.00 μB/f.u.. Number 3: calculated formation energy -1.50 eV/atom, M_tot 0.00 μB/f.u.. Number 4: calculated formation energy -1.48 eV/atom, M_tot 0.00 μB/f.u.. Number 5: calculated formation energy -1.55 eV/atom, M_tot 0.00 μB/f.u.. Number 6: calculated formation energy -1.34 eV/atom, M_tot 2.47 μB/f.u.. Number 7: calculated formation energy -1.53 eV/atom, M_tot 0.00 μB/f.u.. Number 8: calculated formation energy -1.51 eV/atom, M_tot 0.00 μB/f.u..